Arrangement A

DFT (GGA-PBE) results for a geometry-optimized CsKIn2 structure.

Structure (extended XYZ):
```
8
Lattice="-5.1844 5.1844 3.4119 5.1844 -5.1844 3.4119 5.1844 5.1844 -3.4119" Properties=species:S:1:pos:R:3 pbc="T T T"
Cs 0.0000 0.0000 0.0000
Cs 0.0000 5.1844 1.7059
K 5.1844 0.0000 1.7059
K 0.0000 0.0000 3.4119
In 2.5922 2.7776 -0.8530
In 7.5912 2.5922 0.8530
In 2.5922 2.4068 2.5589
In -2.4068 2.5922 4.2649
```

Computed properties:
Its density of states at the Fermi level is 8.9 states/eV/cell. The space group is No. 122.


Arrangement B

DFT (GGA-PBE) results for a geometry-optimized CsKIn2 structure.

Structure (extended XYZ):
```
8
Lattice="8.4236 0.0000 0.0000 0.0000 4.8552 0.0000 -3.1593 0.0000 9.2367" Properties=species:S:1:pos:R:3 pbc="T T T"
Cs 0.2300 1.2138 3.6953
Cs 5.0343 3.6414 5.5414
K 1.3149 3.6414 7.6650
K 3.9494 1.2138 1.5717
In 1.0697 3.6414 0.4541
In -1.4193 1.2138 7.8333
In 6.6836 3.6414 1.4035
In 4.1946 1.2138 8.7826
```

Computed properties:
Its density of states at the Fermi level is 5.6 states/eV/cell. The space group is No. 11.


Most stable: arrangement B


Arrangement A

DFT (GGA-PBE) results for a geometry-optimized CsK2In structure.

Structure (extended XYZ):
```
4
Lattice="4.6846 0.0000 0.0000 0.0000 4.6846 0.0000 0.0000 0.0000 10.8669" Properties=species:S:1:pos:R:3 pbc="T T T"
Cs 0.0000 0.0000 0.0000
K 2.3423 2.3423 3.5382
K 2.3423 2.3423 7.3287
In 0.0000 0.0000 5.4335
```

Computed properties:
Its density of states at the Fermi level is 2.8 states/eV/cell. The space group is No. 123.


Arrangement B

DFT (GGA-PBE) results for a geometry-optimized CsK2In structure.

Structure (extended XYZ):
```
4
Lattice="2.1822 1.2599 15.7791 -2.1822 1.2599 15.7791 0.0000 -2.5198 15.7791" Properties=species:S:1:pos:R:3 pbc="T T T"
Cs 0.0000 0.0000 0.0000
K 0.0000 0.0000 20.1167
K 0.0000 0.0000 27.2206
In 0.0000 0.0000 23.6686
```

Computed properties:
Its density of states at the Fermi level is 4.2 states/eV/cell. The space group is No. 166.


Arrangement C

DFT (GGA-PBE) results for a geometry-optimized CsK2In structure.

Structure (extended XYZ):
```
8
Lattice="-2.9270 2.9270 13.9264 2.9270 -2.9270 13.9264 2.9270 2.9270 -13.9264" Properties=species:S:1:pos:R:3 pbc="T T T"
Cs 0.0000 0.0000 0.0000
Cs 0.0000 2.9270 6.9632
K 1.4635 -1.2439 10.4448
K 1.6831 1.4635 3.4816
K 1.4635 4.1710 -3.4816
K 1.2439 1.4635 17.4080
In 2.9270 0.0000 6.9632
In 0.0000 0.0000 13.9264
```

Computed properties:
Its density of states at the Fermi level is 7.1 states/eV/cell. The space group is No. 122.


Most stable: arrangement A


Arrangement A

DFT (GGA-PBE) results for a geometry-optimized CsKIn structure.

Structure (extended XYZ):
```
3
Lattice="6.5956 0.0000 0.0000 -3.2978 5.7119 0.0000 0.0000 0.0000 3.9761" Properties=species:S:1:pos:R:3 pbc="T T T"
Cs 0.0000 0.0000 0.0000
K 3.2978 1.9040 1.4559
In 0.0000 3.8080 2.2930
```

Computed properties:
Its density of states at the Fermi level is 3.5 states/eV/cell. The space group is No. 156.


Arrangement B

DFT (GGA-PBE) results for a geometry-optimized CsKIn structure.

Structure (extended XYZ):
```
6
Lattice="7.2467 0.0000 0.0000 0.0000 5.2318 0.0000 -1.6354 0.0000 9.8837" Properties=species:S:1:pos:R:3 pbc="T T T"
Cs 0.9485 1.3080 3.3402
Cs 4.6628 3.9239 6.5435
K 1.1691 1.3080 8.4714
K 4.4423 3.9239 1.4122
In 0.6762 3.9239 0.2622
In 4.9351 1.3080 9.6215
```

Computed properties:
Its density of states at the Fermi level is 4.8 states/eV/cell. The space group is No. 11.


Most stable: arrangement B


Arrangement A

DFT (GGA-PBE) results for a geometry-optimized CsK2LiIn structure.

Structure (extended XYZ):
```
5
Lattice="6.7290 0.0000 0.0000 0.0000 6.7290 0.0000 0.0000 0.0000 5.5853" Properties=species:S:1:pos:R:3 pbc="T T T"
Cs 0.0000 0.0000 0.0000
K 0.0000 3.3645 2.7926
K 3.3645 0.0000 2.7926
Li 3.3645 3.3645 2.7926
In 3.3645 3.3645 0.0000
```

Computed properties:
Its density of states at the Fermi level is 4.4 states/eV/cell. The space group is No. 123.


Arrangement B

DFT (GGA-PBE) results for a geometry-optimized CsK2LiIn structure.

Structure (extended XYZ):
```
5
Lattice="6.9536 0.0000 0.0000 0.0000 6.9536 0.0000 0.0000 0.0000 5.7669" Properties=species:S:1:pos:R:3 pbc="T T T"
Cs 0.0000 0.0000 0.0000
K 0.0000 3.4768 2.8834
K 3.4768 0.0000 2.8834
Li 3.4768 3.4768 0.0000
In 3.4768 3.4768 2.8834
```

Computed properties:
Its density of states at the Fermi level is 3.6 states/eV/cell. The space group is No. 123.


Most stable: arrangement B


Arrangement A

DFT (GGA-PBE) results for a geometry-optimized CsKNa2In structure.

Structure (extended XYZ):
```
5
Lattice="6.3323 0.0000 0.0000 0.0000 6.3323 0.0000 0.0000 0.0000 7.1406" Properties=species:S:1:pos:R:3 pbc="T T T"
Cs 0.0000 0.0000 0.0000
K 3.1662 3.1662 0.0000
Na 0.0000 3.1662 3.5703
Na 3.1662 0.0000 3.5703
In 0.0000 0.0000 3.5703
```

Computed properties:
Its density of states at the Fermi level is 3.0 states/eV/cell. The space group is No. 123.


Arrangement B

DFT (GGA-PBE) results for a geometry-optimized CsKNa2In structure.

Structure (extended XYZ):
```
5
Lattice="6.3045 0.0000 0.0000 0.0000 6.3045 0.0000 0.0000 0.0000 6.8360" Properties=species:S:1:pos:R:3 pbc="T T T"
Cs 0.0000 0.0000 0.0000
K 3.1522 3.1522 0.0000
Na 0.0000 3.1522 3.4180
Na 3.1522 0.0000 3.4180
In 3.1522 3.1522 3.4180
```

Computed properties:
Its density of states at the Fermi level is 2.0 states/eV/cell. The space group is No. 123.


Most stable: arrangement B


Arrangement A

DFT (GGA-PBE) results for a geometry-optimized CsK2NaIn structure.

Structure (extended XYZ):
```
5
Lattice="6.9769 0.0000 0.0000 0.0000 6.9769 0.0000 0.0000 0.0000 6.0401" Properties=species:S:1:pos:R:3 pbc="T T T"
Cs 0.0000 0.0000 0.0000
K 0.0000 3.4885 3.0200
K 3.4885 0.0000 3.0200
Na 3.4885 3.4885 3.0200
In 3.4885 3.4885 0.0000
```

Computed properties:
Its density of states at the Fermi level is 4.2 states/eV/cell. The space group is No. 123.


Arrangement B

DFT (GGA-PBE) results for a geometry-optimized CsK2NaIn structure.

Structure (extended XYZ):
```
5
Lattice="6.9958 0.0000 0.0000 0.0000 6.9958 0.0000 0.0000 0.0000 6.3086" Properties=species:S:1:pos:R:3 pbc="T T T"
Cs 0.0000 0.0000 0.0000
K 0.0000 3.4979 3.1543
K 3.4979 0.0000 3.1543
Na 3.4979 3.4979 0.0000
In 3.4979 3.4979 3.1543
```

Computed properties:
Its density of states at the Fermi level is 2.9 states/eV/cell. The space group is No. 123.


Most stable: arrangement B